VASP calculation (PBE) on crystalline Tb3Nd2Dy2 at its relaxed geometry.

a b c (Å): 3.593 6.195 10.775
angles (deg): 95.43 90.02 106.70
Atoms (fractional coordinates):
Tb 0.000 0.000 0.000
Tb 0.143 0.285 0.570
Tb 0.857 0.715 0.430
Nd 0.285 0.571 0.145
Nd 0.715 0.429 0.855
Dy 0.429 0.859 0.712
Dy 0.571 0.141 0.288

Results
E above lowest polymorph	0	meV per atom
symmetry	P-1, No. 2
energy of formation from the pure elements	0.1	eV per formula unit